1.
{
  "formula": "Rb2TmPdO4",
  "functional": "GGA-PBE",
  "state": "relaxed",
  "e_form_raw_ev_per_atom": -1.410,
  "dft_energy_ev_per_atom": -5.339,
  "space_group": "No. 70",
  "m_tot_mub_per_cell": 2.13,
  "mass_density_g_cm3": 3.7,
  "lattice": [[0.000, 6.823, 11.559], [2.918, 0.000, 11.559], [2.918, 6.823, 0.000]],
  "species": ["Rb", "Rb", "Rb", "Rb", "Tm", "Tm", "Pd", "Pd", "O", "O", "O", "O", "O", "O", "O", "O"],
  "frac_coords": [[0.069, 0.069, 0.681], [0.319, 0.319, 0.931], [0.681, 0.681, 0.069], [0.931, 0.931, 0.319], [0.125, 0.125, 0.125], [0.875, 0.875, 0.875], [0.375, 0.375, 0.375], [0.625, 0.625, 0.625], [0.010, 0.695, 0.537], [0.258, 0.537, 0.695], [0.305, 0.990, 0.742], [0.463, 0.742, 0.990], [0.537, 0.258, 0.010], [0.695, 0.010, 0.258], [0.742, 0.463, 0.305], [0.990, 0.305, 0.463]]
}



2.
{
  "formula": "Ti8Ga6Au",
  "functional": "GGA-PBE",
  "state": "relaxed",
  "dft_energy_ev_per_atom": -5.872,
  "e_form_ev_per_atom": -0.23,
  "space_group": "No. 148",
  "m_tot_mub_per_cell": 0.00,
  "mass_density_g_cm3": 6.3,
  "lattice": [[3.798, 2.193, 5.271], [-3.798, 2.193, 5.271], [0.000, -4.386, 5.271]],
  "species": ["Ti", "Ti", "Ti", "Ti", "Ti", "Ti", "Ti", "Ti", "Ga", "Ga", "Ga", "Ga", "Ga", "Ga", "Au"],
  "frac_coords": [[0.124, 0.633, 0.383], [0.244, 0.244, 0.244], [0.367, 0.617, 0.876], [0.383, 0.124, 0.633], [0.617, 0.876, 0.367], [0.633, 0.383, 0.124], [0.756, 0.756, 0.756], [0.876, 0.367, 0.617], [0.082, 0.383, 0.867], [0.133, 0.918, 0.617], [0.383, 0.867, 0.082], [0.617, 0.133, 0.918], [0.867, 0.082, 0.383], [0.918, 0.617, 0.133], [0.500, 0.500, 0.500]]
}



3.
{
  "formula": "RbLi2GaAg",
  "functional": "GGA-PBE",
  "state": "relaxed",
  "dft_energy_ev_per_atom": -2.116,
  "e_form_ev_per_atom": 0.02,
  "space_group": "No. 123",
  "m_tot_mub_per_cell": 0.00,
  "mass_density_g_cm3": 3.3,
  "polymorph_energy_mev_per_atom": 0,
  "lattice": [[5.291, 0.000, 0.000], [0.000, 5.291, 0.000], [0.000, 0.000, 5.051]],
  "species": ["Rb", "Li", "Li", "Ga", "Ag"],
  "frac_coords": [[0.000, 0.000, 0.000], [0.000, 0.500, 0.500], [0.500, 0.000, 0.500], [0.500, 0.500, 0.500], [0.500, 0.500, 0.000]]
}



4.
{
  "formula": "Pr3YPa2N6",
  "functional": "GGA-PBE",
  "state": "relaxed",
  "e_form_raw_ev_per_atom": -1.567,
  "dft_energy_ev_per_atom": -9.046,
  "space_group": "No. 12",
  "m_tot_mub_per_cell": 0.00,
  "mass_density_g_cm3": 9.0,
  "lattice": [[3.087, -5.349, 0.000], [3.087, 5.349, 0.000], [-2.056, 0.000, 5.923]],
  "species": ["Pr", "Pr", "Pr", "Y", "Pa", "Pa", "N", "N", "N", "N", "N", "N"],
  "frac_coords": [[0.000, 0.000, 0.000], [0.334, 0.666, 0.000], [0.666, 0.334, 0.000], [0.500, 0.500, 0.500], [0.167, 0.833, 0.500], [0.833, 0.167, 0.500], [0.082, 0.429, 0.287], [0.224, 0.224, 0.712], [0.429, 0.082, 0.287], [0.571, 0.918, 0.713], [0.776, 0.776, 0.288], [0.918, 0.571, 0.713]]
}



5.
{
  "formula": "PrIr4O12",
  "functional": "GGA-PBE",
  "state": "relaxed",
  "e_form_raw_ev_per_atom": -0.902,
  "dft_energy_ev_per_atom": -6.768,
  "space_group": "No. 204",
  "m_tot_mub_per_cell": 4.43,
  "mass_density_g_cm3": 8.7,
  "lattice": [[-3.751, 3.751, 3.751], [3.751, -3.751, 3.751], [3.751, 3.751, -3.751]],
  "species": ["Pr", "Ir", "Ir", "Ir", "Ir", "O", "O", "O", "O", "O", "O", "O", "O", "O", "O", "O", "O"],
  "frac_coords": [[0.000, 0.000, 0.000], [0.000, 0.000, 0.500], [0.000, 0.500, 0.000], [0.500, 0.000, 0.000], [0.500, 0.500, 0.500], [0.107, 0.817, 0.290], [0.183, 0.290, 0.473], [0.183, 0.710, 0.893], [0.290, 0.107, 0.817], [0.290, 0.473, 0.183], [0.473, 0.183, 0.290], [0.527, 0.817, 0.710], [0.710, 0.527, 0.817], [0.710, 0.893, 0.183], [0.817, 0.290, 0.107], [0.817, 0.710, 0.527], [0.893, 0.183, 0.710]]
}



6.
{
  "formula": "CaPr12In3",
  "functional": "GGA-PBE",
  "state": "relaxed",
  "dft_energy_ev_per_atom": -4.407,
  "e_form_ev_per_atom": -0.18,
  "space_group": "No. 123",
  "m_tot_mub_per_cell": 0.00,
  "mass_density_g_cm3": 6.5,
  "lattice": [[5.051, 0.000, 0.000], [0.000, 5.051, 0.000], [0.000, 0.000, 20.635]],
  "species": ["Ca", "Pr", "Pr", "Pr", "Pr", "Pr", "Pr", "Pr", "Pr", "Pr", "Pr", "Pr", "Pr", "In", "In", "In"],
  "frac_coords": [[0.000, 0.000, 0.000], [0.000, 0.500, 0.136], [0.000, 0.500, 0.378], [0.000, 0.500, 0.622], [0.000, 0.500, 0.864], [0.500, 0.000, 0.136], [0.500, 0.000, 0.378], [0.500, 0.000, 0.622], [0.500, 0.000, 0.864], [0.500, 0.500, 0.000], [0.500, 0.500, 0.256], [0.500, 0.500, 0.500], [0.500, 0.500, 0.744], [0.000, 0.000, 0.257], [0.000, 0.000, 0.500], [0.000, 0.000, 0.743]]
}



7.
{
  "formula": "CuSnRh",
  "functional": "GGA-PBE",
  "state": "relaxed",
  "dft_energy_ev_per_atom": -5.317,
  "e_form_ev_per_atom": -0.17,
  "space_group": "No. 107",
  "m_tot_mub_per_cell": 0.00,
  "mass_density_g_cm3": 9.9,
  "lattice": [[-1.698, 1.698, 4.155], [1.698, -1.698, 4.155], [1.698, 1.698, -4.155]],
  "species": ["Cu", "Sn", "Rh"],
  "frac_coords": [[0.000, 0.000, 0.000], [0.330, 0.330, 0.000], [0.663, 0.663, 0.000]]
}



8.
{
  "formula": "TaSbAu",
  "functional": "GGA-PBE",
  "state": "relaxed",
  "e_form_raw_ev_per_atom": 0.152,
  "dft_energy_ev_per_atom": -6.266,
  "space_group": "No. 38",
  "m_tot_mub_per_cell": 0.00,
  "mass_density_g_cm3": 13.3,
  "polymorph_energy_mev_per_atom": 0,
  "lattice": [[14.145, 0.000, 0.000], [0.000, 1.551, 2.848], [0.000, -1.551, 2.848]],
  "species": ["Ta", "Ta", "Sb", "Sb", "Au", "Au"],
  "frac_coords": [[0.000, 0.000, 0.000], [0.500, 0.094, 0.094], [0.341, 0.777, 0.777], [0.659, 0.777, 0.777], [0.151, 0.334, 0.334], [0.849, 0.334, 0.334]]
}



9.
{
  "formula": "Be2SiAs3",
  "functional": "GGA-PBE",
  "state": "relaxed",
  "e_form_raw_ev_per_atom": -0.125,
  "dft_energy_ev_per_atom": -4.596,
  "space_group": "No. 9",
  "m_tot_mub_per_cell": 0.00,
  "mass_density_g_cm3": 4.0,
  "lattice": [[3.257, -5.637, 0.000], [3.257, 5.637, 0.000], [-2.132, 0.000, 6.088]],
  "species": ["Be", "Be", "Be", "Be", "Si", "Si", "As", "As", "As", "As", "As", "As"],
  "frac_coords": [[0.082, 0.918, 0.500], [0.242, 0.744, 0.999], [0.744, 0.242, 0.499], [0.918, 0.082, 0.000], [0.404, 0.578, 0.493], [0.578, 0.404, 0.993], [0.022, 0.190, 0.371], [0.190, 0.022, 0.871], [0.369, 0.886, 0.371], [0.543, 0.724, 0.886], [0.724, 0.543, 0.386], [0.886, 0.369, 0.871]]
}



10.
{
  "formula": "Na2Hg2H4Pt",
  "functional": "GGA-PBE",
  "state": "relaxed",
  "dft_energy_ev_per_atom": -2.691,
  "space_group": "No. 139",
  "m_tot_mub_per_cell": 0.00,
  "mass_density_g_cm3": 7.3,
  "lattice": [[-2.976, 2.976, 4.131], [2.976, -2.976, 4.131], [2.976, 2.976, -4.131]],
  "species": ["Na", "Na", "Hg", "Hg", "H", "H", "H", "H", "Pt"],
  "frac_coords": [[0.250, 0.750, 0.500], [0.750, 0.250, 0.500], [0.167, 0.167, 0.000], [0.833, 0.833, 0.000], [0.301, 0.301, 0.603], [0.301, 0.699, 0.000], [0.699, 0.301, 0.000], [0.699, 0.699, 0.397], [0.500, 0.500, 0.000]]
}



11.
{
  "formula": "LaNd6Er2Mg",
  "functional": "GGA-PBE",
  "state": "relaxed",
  "dft_energy_ev_per_atom": -4.322,
  "e_form_ev_per_atom": 0.10,
  "space_group": "No. 15",
  "m_tot_mub_per_cell": 0.00,
  "mass_density_g_cm3": 6.7,
  "lattice": [[5.184, -6.904, 0.000], [5.184, 6.904, 0.000], [-1.884, 0.000, 9.406]],
  "species": ["La", "La", "Nd", "Nd", "Nd", "Nd", "Nd", "Nd", "Nd", "Nd", "Nd", "Nd", "Nd", "Nd", "Er", "Er", "Er", "Er", "Mg", "Mg"],
  "frac_coords": [[0.066, 0.934, 0.750], [0.934, 0.066, 0.250], [0.033, 0.462, 0.330], [0.079, 0.735, 0.075], [0.265, 0.921, 0.425], [0.329, 0.562, 0.904], [0.438, 0.671, 0.596], [0.462, 0.033, 0.830], [0.538, 0.967, 0.170], [0.562, 0.329, 0.404], [0.671, 0.438, 0.096], [0.735, 0.079, 0.575], [0.921, 0.265, 0.925], [0.967, 0.538, 0.670], [0.202, 0.270, 0.594], [0.270, 0.202, 0.094], [0.730, 0.798, 0.906], [0.798, 0.730, 0.406], [0.401, 0.599, 0.250], [0.599, 0.401, 0.750]]
}



12.
{
  "formula": "Tm5Hf3P8",
  "functional": "GGA-PBE",
  "state": "relaxed",
  "dft_energy_ev_per_atom": -7.453,
  "e_form_ev_per_atom": -1.48,
  "space_group": "No. 166",
  "m_tot_mub_per_cell": 0.00,
  "mass_density_g_cm3": 8.4,
  "lattice": [[3.835, 2.214, 6.302], [-3.835, 2.214, 6.302], [0.000, -4.428, 6.302]],
  "species": ["Tm", "Tm", "Tm", "Tm", "Tm", "Hf", "Hf", "Hf", "P", "P", "P", "P", "P", "P", "P", "P"],
  "frac_coords": [[0.000, 0.000, 0.000], [0.000, 0.500, 0.500], [0.500, 0.000, 0.500], [0.500, 0.500, 0.000], [0.500, 0.500, 0.500], [0.000, 0.000, 0.500], [0.000, 0.500, 0.000], [0.500, 0.000, 0.000], [0.240, 0.750, 0.750], [0.245, 0.245, 0.245], [0.250, 0.250, 0.760], [0.250, 0.760, 0.250], [0.750, 0.240, 0.750], [0.750, 0.750, 0.240], [0.755, 0.755, 0.755], [0.760, 0.250, 0.250]]
}



13.
{
  "formula": "VCr3Sb",
  "functional": "GGA-PBE",
  "state": "relaxed",
  "e_form_raw_ev_per_atom": 1.717,
  "dft_energy_ev_per_atom": -6.706,
  "space_group": "No. 221",
  "m_tot_mub_per_cell": 17.26,
  "mass_density_g_cm3": 4.0,
  "polymorph_energy_mev_per_atom": 651,
  "lattice": [[5.153, 0.000, 0.000], [0.000, 5.153, 0.000], [0.000, 0.000, 5.153]],
  "species": ["V", "Cr", "Cr", "Cr", "Sb"],
  "frac_coords": [[0.000, 0.000, 0.000], [0.000, 0.500, 0.500], [0.500, 0.000, 0.500], [0.500, 0.500, 0.000], [0.500, 0.500, 0.500]]
}



14.
{
  "formula": "Ba4PdPb",
  "functional": "GGA-PBE",
  "state": "relaxed",
  "dft_energy_ev_per_atom": -3.168,
  "e_form_ev_per_atom": -0.40,
  "space_group": "No. 15",
  "m_tot_mub_per_cell": 0.24,
  "mass_density_g_cm3": 5.3,
  "lattice": [[5.353, -7.765, 0.000], [5.353, 7.765, 0.000], [-4.175, 0.000, 6.487]],
  "species": ["Ba", "Ba", "Ba", "Ba", "Ba", "Ba", "Ba", "Ba", "Pd", "Pd", "Pb", "Pb"],
  "frac_coords": [[0.057, 0.708, 0.914], [0.229, 0.349, 0.712], [0.292, 0.943, 0.586], [0.349, 0.229, 0.212], [0.651, 0.771, 0.788], [0.708, 0.057, 0.414], [0.771, 0.651, 0.288], [0.943, 0.292, 0.086], [0.000, 0.000, 0.250], [0.000, 0.000, 0.750], [0.366, 0.634, 0.250], [0.634, 0.366, 0.750]]
}



15.
{
  "formula": "LuMgIn",
  "functional": "GGA-PBE",
  "state": "relaxed",
  "dft_energy_ev_per_atom": -3.283,
  "e_form_ev_per_atom": -0.33,
  "space_group": "No. 189",
  "m_tot_mub_per_cell": 0.00,
  "mass_density_g_cm3": 7.1,
  "lattice": [[7.410, 0.000, 0.000], [-3.705, 6.418, 0.000], [0.000, 0.000, 4.643]],
  "species": ["Lu", "Lu", "Lu", "Mg", "Mg", "Mg", "In", "In", "In"],
  "frac_coords": [[0.000, 0.563, 0.000], [0.437, 0.437, 0.000], [0.563, 0.000, 0.000], [0.000, 0.242, 0.500], [0.242, 0.000, 0.500], [0.758, 0.758, 0.500], [0.000, 0.000, 0.000], [0.333, 0.667, 0.500], [0.667, 0.333, 0.500]]
}



16.
{
  "formula": "Sc2NbSi2",
  "functional": "GGA-PBE",
  "state": "relaxed",
  "e_form_raw_ev_per_atom": -0.110,
  "dft_energy_ev_per_atom": -6.825,
  "space_group": "No. 127",
  "m_tot_mub_per_cell": 0.00,
  "mass_density_g_cm3": 4.4,
  "polymorph_energy_mev_per_atom": 580,
  "lattice": [[7.799, 0.000, 0.000], [0.000, 7.799, 0.000], [0.000, 0.000, 2.951]],
  "species": ["Sc", "Sc", "Sc", "Sc", "Nb", "Nb", "Si", "Si", "Si", "Si"],
  "frac_coords": [[0.126, 0.374, 0.000], [0.374, 0.874, 0.000], [0.626, 0.126, 0.000], [0.874, 0.626, 0.000], [0.000, 0.000, 0.000], [0.500, 0.500, 0.000], [0.176, 0.676, 0.500], [0.324, 0.176, 0.500], [0.676, 0.824, 0.500], [0.824, 0.324, 0.500]]
}



17.
{
  "formula": "RbNa2Al",
  "functional": "GGA-PBE",
  "state": "relaxed",
  "dft_energy_ev_per_atom": -1.467,
  "e_form_ev_per_atom": 0.37,
  "space_group": "No. 122",
  "m_tot_mub_per_cell": 0.00,
  "mass_density_g_cm3": 1.6,
  "lattice": [[-2.682, 2.682, 11.663], [2.682, -2.682, 11.663], [2.682, 2.682, -11.663]],
  "species": ["Rb", "Rb", "Na", "Na", "Na", "Na", "Al", "Al"],
  "frac_coords": [[0.000, 0.000, 0.000], [0.750, 0.250, 0.500], [0.208, 0.625, 0.083], [0.375, 0.458, 0.583], [0.542, 0.125, 0.917], [0.875, 0.792, 0.417], [0.250, 0.750, 0.500], [0.500, 0.500, 0.000]]
}



18.
{
  "formula": "KTl2Ag",
  "functional": "GGA-PBE",
  "state": "relaxed",
  "dft_energy_ev_per_atom": -2.048,
  "e_form_ev_per_atom": 0.12,
  "space_group": "No. 12",
  "m_tot_mub_per_cell": 0.00,
  "mass_density_g_cm3": 7.7,
  "lattice": [[3.347, -5.768, 0.000], [3.347, 5.768, 0.000], [-1.384, 0.000, 3.104]],
  "species": ["K", "Tl", "Tl", "Ag"],
  "frac_coords": [[0.000, 0.000, 0.000], [0.000, 0.500, 0.500], [0.500, 0.000, 0.500], [0.500, 0.500, 0.000]]
}